# 1
## CrCu2Pt (meta-GGA SCAN)

Data for a crystal of CrCu2Pt relaxed with PBEsol.

```
data_CrCu2Pt
_chemical_formula_sum 'Cr2 Cu4 Pt2'
_symmetry_space_group_name_H-M 'I 4/m m m'
_symmetry_Int_Tables_number 139
_symmetry_space_group_name_Hall '-I 4 2'
_cell_length_a 3.677
_cell_length_b 3.677
_cell_length_c 7.580
_cell_angle_alpha 90.00
_cell_angle_beta 90.00
_cell_angle_gamma 90.00
loop_
_atom_site_label
_atom_site_type_symbol
_atom_site_fract_x
_atom_site_fract_y
_atom_site_fract_z
Cr1 Cr 0.000 0.000 0.000
Cu1 Cu 0.000 0.500 0.250
Pt1 Pt 0.000 0.000 0.500
```

Output
**Formation energy**: -0.162 eV per atom

# 2
## CrCuPt2 (meta-GGA SCAN)

Data for a crystal of CrCuPt2 relaxed with PBEsol.

```
data_CrCuPt2
_chemical_formula_sum 'Cr2 Cu2 Pt4'
_symmetry_space_group_name_H-M 'C m m m'
_symmetry_Int_Tables_number 65
_symmetry_space_group_name_Hall '-C 2 2'
_cell_length_a 5.437
_cell_length_b 7.268
_cell_length_c 2.754
_cell_angle_alpha 90.00
_cell_angle_beta 90.00
_cell_angle_gamma 90.00
loop_
_atom_site_label
_atom_site_type_symbol
_atom_site_fract_x
_atom_site_fract_y
_atom_site_fract_z
Cr1 Cr 0.000 0.000 0.000
Cu1 Cu 0.000 0.500 0.000
Pt1 Pt 0.250 0.250 0.500
```

Output
**Formation energy**: -0.331 eV per atom

# 3
## CrCuPt2 (meta-GGA SCAN)

Data for a crystal of CrCuPt2 relaxed with PBEsol.

```
data_CrCuPt2
_chemical_formula_sum 'Cr3 Cu3 Pt6'
_symmetry_space_group_name_H-M 'R 3 m'
_symmetry_Int_Tables_number 160
_symmetry_space_group_name_Hall 'R 3 -2"'
_cell_length_a 2.6688
_cell_length_b 2.6688
_cell_length_c 26.0725
_cell_angle_alpha 90.00
_cell_angle_beta 90.00
_cell_angle_gamma 120.00
loop_
_atom_site_label
_atom_site_type_symbol
_atom_site_fract_x
_atom_site_fract_y
_atom_site_fract_z
Cr1 Cr 0.0000 0.0000 0.0000
Cu1 Cu 0.0000 0.0000 0.7451
Pt1 Pt 0.0000 0.0000 0.2549
Pt2 Pt 0.0000 0.0000 0.4945
```

Output
**Formation energy**: -0.025 eV per atom

# 4
## CrCu2Pt (meta-GGA SCAN)

Data for a crystal of CrCu2Pt relaxed with PBEsol.

```
data_CrCu2Pt
_chemical_formula_sum 'Cr2 Cu4 Pt2'
_symmetry_space_group_name_H-M 'I -4 m 2'
_symmetry_Int_Tables_number 119
_symmetry_space_group_name_Hall 'I -4 -2'
_cell_length_a 3.705
_cell_length_b 3.705
_cell_length_c 7.405
_cell_angle_alpha 90.00
_cell_angle_beta 90.00
_cell_angle_gamma 90.00
loop_
_atom_site_label
_atom_site_type_symbol
_atom_site_fract_x
_atom_site_fract_y
_atom_site_fract_z
Cr1 Cr 0.000 0.000 0.000
Cu1 Cu 0.000 0.000 0.500
Cu2 Cu 0.000 0.500 0.250
Pt1 Pt 0.000 0.500 0.750
```

Output
**Formation energy**: -0.181 eV per atom

# 5
## CrCu2Pt (meta-GGA SCAN)

Data for a crystal of CrCu2Pt relaxed with PBEsol.

```
data_CrCu2Pt
_chemical_formula_sum 'Cr3 Cu6 Pt3'
_symmetry_space_group_name_H-M 'R -3 m'
_symmetry_Int_Tables_number 166
_symmetry_space_group_name_Hall '-R 3 2"'
_cell_length_a 2.5979
_cell_length_b 2.5979
_cell_length_c 25.6604
_cell_angle_alpha 90.00
_cell_angle_beta 90.00
_cell_angle_gamma 120.00
loop_
_atom_site_label
_atom_site_type_symbol
_atom_site_fract_x
_atom_site_fract_y
_atom_site_fract_z
Cr1 Cr 0.0000 0.0000 0.0000
Cu1 Cu 0.0000 0.0000 0.2531
Pt1 Pt 0.0000 0.0000 0.5000
```

Output
**Formation energy**: 0.144 eV per atom

# 6
## CrCu2Pt (meta-GGA SCAN)

Data for a crystal of CrCu2Pt relaxed with PBEsol.

```
data_CrCu2Pt
_chemical_formula_sum 'Cr2 Cu4 Pt2'
_symmetry_space_group_name_H-M 'C m m m'
_symmetry_Int_Tables_number 65
_symmetry_space_group_name_Hall '-C 2 2'
_cell_length_a 2.699
_cell_length_b 4.322
_cell_length_c 8.655
_cell_angle_alpha 90.00
_cell_angle_beta 90.00
_cell_angle_gamma 90.00
loop_
_atom_site_label
_atom_site_type_symbol
_atom_site_fract_x
_atom_site_fract_y
_atom_site_fract_z
Cr1 Cr 0.000 0.000 0.000
Cu1 Cu 0.000 0.500 0.240
Pt1 Pt 0.000 0.000 0.500
```

Output
**Formation energy**: 0.200 eV per atom

# 7
## CrCu2Pt (meta-GGA SCAN)

Data for a crystal of CrCu2Pt relaxed with PBEsol.

```
data_CrCu2Pt
_chemical_formula_sum 'Cr2 Cu4 Pt2'
_symmetry_space_group_name_H-M 'C 1 2/m 1'
_symmetry_Int_Tables_number 12
_symmetry_space_group_name_Hall '-C 2y'
_cell_length_a 8.678
_cell_length_b 2.619
_cell_length_c 4.499
_cell_angle_alpha 90.00
_cell_angle_beta 100.02
_cell_angle_gamma 90.00
loop_
_atom_site_label
_atom_site_type_symbol
_atom_site_fract_x
_atom_site_fract_y
_atom_site_fract_z
Cr1 Cr 0.000 0.000 0.000
Cu1 Cu 0.248 0.500 0.241
Pt1 Pt 0.000 0.500 0.500
```

Output
**Formation energy**: -0.108 eV per atom

# 8
## CrCuPt2 (meta-GGA SCAN)

Data for a crystal of CrCuPt2 relaxed with PBEsol.

```
data_CrCuPt2
_chemical_formula_sum 'Cr1 Cu1 Pt2'
_symmetry_space_group_name_H-M 'P m m m'
_symmetry_Int_Tables_number 47
_symmetry_space_group_name_Hall '-P 2 2'
_cell_length_a 2.767
_cell_length_b 3.581
_cell_length_c 5.437
_cell_angle_alpha 90.00
_cell_angle_beta 90.00
_cell_angle_gamma 90.00
loop_
_atom_site_label
_atom_site_type_symbol
_atom_site_fract_x
_atom_site_fract_y
_atom_site_fract_z
Cr1 Cr 0.000 0.000 0.000
Cu1 Cu 0.000 0.000 0.500
Pt1 Pt 0.500 0.500 0.250
```

Output
**Formation energy**: -0.391 eV per atom